This record from the Alexandria database describes a relaxed structure of HfGaO3. The functional is PBE-GGA.

a b c (Å): 4.071 4.071 4.071
angles (deg): 90.00 90.00 90.00
Atoms (fractional coordinates):
Hf 0.000 0.000 0.000
O 0.000 0.500 0.000
O 0.000 0.000 0.500
O 0.500 0.000 0.000
Ga 0.500 0.500 0.500

Results
E_form (uncorrected) in eV per atom: -2.0881